[1]
! CeYIn2 GGA-PBE relaxed; values from VASP
&SYSTEM
  ibrav = 0, nat = 4, ntyp = 3
/
ATOMIC_SPECIES
Ce 140.12 Ce.upf
Y 88.91 Y.upf
In 114.82 In.upf
ATOMIC_POSITIONS angstrom
Ce 0.0000 0.0000 0.0000
Y 0.0000 0.0000 15.2036
In 0.0000 0.0000 7.5347
In 0.0000 0.0000 22.8725
CELL_PARAMETERS angstrom
1.8218 1.0518 10.1357
-1.8218 1.0518 10.1357
0.0000 -2.1036 10.1357
! ΔE to the lowest computed polymorph ... 0.1798 eV per atom

[2]
! K3Zr GGA-PBE relaxed; values from VASP
&SYSTEM
  ibrav = 0, nat = 4, ntyp = 2
/
ATOMIC_SPECIES
K 39.10 K.upf
Zr 91.22 Zr.upf
ATOMIC_POSITIONS angstrom
K 0.0000 0.0000 0.0000
K -0.0497 3.4097 5.7612
K 2.5907 3.4097 2.1842
Zr 1.2705 0.0000 3.9727
CELL_PARAMETERS angstrom
3.4718 0.0000 0.0000
0.0000 6.8193 0.0000
-0.9307 0.0000 7.9454
! ΔE to the lowest computed polymorph ... 0.2535 eV per atom